[1]
VASP calculation (PBE) on NbCoSnW after structural relaxation.

Cell and atoms, written as POSCAR:
```
NbCoSnW
1.0
0.000 3.201 3.201
3.201 0.000 3.201
3.201 3.201 0.000
Nb Co Sn W
1 1 1 1
direct
0.000 0.000 0.000 Nb
0.750 0.750 0.750 Co
0.500 0.500 0.500 Sn
0.250 0.250 0.250 W
```

The value obtained for the excess energy over the best structure of this formula in the dataset is 0.0 meV per atom. As for the space-group type: F-43m (216). The calculation puts the total moment at 0.1 μB/f.u. The crystal system is cubic.

---

[2]
VASP calculation (PBE) on YNbCoSn after structural relaxation.

Cell and atoms, written as POSCAR:
```
YNbCoSn
1.0
0.000 3.388 3.388
3.388 0.000 3.388
3.388 3.388 0.000
Y Nb Co Sn
1 1 1 1
direct
0.000 0.000 0.000 Y
0.250 0.250 0.250 Nb
0.750 0.750 0.750 Co
0.500 0.500 0.500 Sn
```

The value obtained for the excess energy over the best structure of this formula in the dataset is 0.0 meV per atom. As for the space-group type: F-43m (216). The calculation puts the total moment at 3.0 μB/f.u. The crystal system is cubic.